Mg2TeBr after structural relaxation, computed with GGA-PBEsol.

Properties
N(E_F), states/eV/atom: 0.34
Symmetry: P4/mmm (123)
ΔE_f (raw), eV per atom: -0.73

Unit cell a=4.1970 b=4.1990 c=5.9037 alpha=90.00 beta=90.00 gamma=90.00
Atoms (fractional coordinates):
Mg  0.0000  0.1250  0.0000
Mg  0.5000  0.6246  0.5000
Te  0.5000  0.6249  0.0000
Br  0.0000  0.1255  0.5000

Mg2TeBr after structural relaxation, computed with GGA-PBEsol.

Properties
N(E_F), states/eV/atom: 0.37
Symmetry: R3m (160)
ΔE_f (raw), eV per atom: -0.55

Unit cell a=3.5920 b=3.5920 c=9.9662 alpha=79.62 beta=79.62 gamma=60.00
Atoms (fractional coordinates):
Mg  0.7470  0.7470  0.7589
Mg  0.9952  0.9952  0.0143
Te  0.4840  0.4840  0.5480
Br  0.2737  0.2737  0.1789

MgTeBr2 after structural relaxation, computed with GGA-PBEsol.

Properties
N(E_F), states/eV/atom: 0.21
Symmetry: P4/mmm (123)
ΔE_f (raw), eV per atom: -0.66

Unit cell a=3.2757 b=3.2757 c=10.6135 alpha=90.00 beta=90.00 gamma=90.00
Atoms (fractional coordinates):
Br  0.0000  0.0000  0.8465
Br  0.0000  0.0000  0.1535
Te  0.5000  0.5000  0.5000
Mg  0.5000  0.5000  0.0000

Mg2TeBr after structural relaxation, computed with GGA-PBEsol.

Properties
N(E_F), states/eV/atom: 0.30
Symmetry: C2/m (12)
ΔE_f (raw), eV per atom: -0.58

Unit cell a=3.9380 b=5.4526 c=5.4526 alpha=90.80 beta=72.21 gamma=72.21
Atoms (fractional coordinates):
Mg  0.0000  0.0000  0.5000
Mg  0.0000  0.5000  0.0000
Te  0.5000  0.0000  0.0000
Br  0.5000  0.5000  0.5000

MgTeBr2 after structural relaxation, computed with GGA-PBEsol.

Properties
N(E_F), states/eV/atom: 0.33
Symmetry: Pmmm (47)
ΔE_f (raw), eV per atom: -0.40

Unit cell a=3.6233 b=4.6374 c=6.0548 alpha=90.00 beta=90.00 gamma=90.00
Atoms (fractional coordinates):
Te  0.0000  0.5000  0.5000
Br  0.5000  0.0000  0.5000
Br  0.0000  0.0000  0.0000
Mg  0.5000  0.5000  0.0000

MgTl2Br after structural relaxation, computed with GGA-PBEsol.

Properties
N(E_F), states/eV/atom: 0.41
Symmetry: Pmmm (47)
ΔE_f (raw), eV per atom: -0.27

Unit cell a=3.5136 b=5.4032 c=5.6371 alpha=90.00 beta=90.00 gamma=90.00
Atoms (fractional coordinates):
Br  0.5000  0.5000  0.0000
Tl  0.5000  0.0000  0.5000
Tl  0.0000  0.0000  0.0000
Mg  0.0000  0.5000  0.5000

MgTl3Br after structural relaxation, computed with GGA-PBEsol.

Properties
N(E_F), states/eV/atom: 0.49
Symmetry: Pm-3m (221)
ΔE_f (raw), eV per atom: 0.05

Unit cell a=5.5059 b=5.5059 c=5.5059 alpha=90.00 beta=90.00 gamma=90.00
Atoms (fractional coordinates):
Mg  0.0000  0.0000  0.0000
Tl  0.5000  0.0000  0.0000
Tl  0.0000  0.0000  0.5000
Tl  0.0000  0.5000  0.0000
Br  0.5000  0.5000  0.5000

Mg2WBr after structural relaxation, computed with GGA-PBEsol.

Properties
N(E_F), states/eV/atom: 0.89
Symmetry: Imm2 (44)
ΔE_f (raw), eV per atom: 0.44

Unit cell a=3.0341 b=4.7991 c=6.7111 alpha=110.95 beta=103.06 gamma=90.00
Atoms (fractional coordinates):
W  0.5162  0.5162  0.0324
Mg  0.8243  0.3243  0.6487
Mg  0.9747  0.9747  0.9494
Br  0.1848  0.6848  0.3695

Mg2WBr after structural relaxation, computed with GGA-PBEsol.

Properties
N(E_F), states/eV/atom: 0.94
Symmetry: I-4m2 (119)
ΔE_f (raw), eV per atom: 0.84

Unit cell a=4.0410 b=4.0410 c=5.4039 alpha=111.96 beta=111.96 gamma=90.00
Atoms (fractional coordinates):
W  0.5000  0.5000  0.0000
Mg  0.0000  0.0000  0.0000
Mg  0.7500  0.2500  0.5000
Br  0.2500  0.7500  0.5000

Y2MgBr after structural relaxation, computed with GGA-PBEsol.

Properties
N(E_F), states/eV/atom: 1.25
Symmetry: Immm (71)
ΔE_f (raw), eV per atom: -0.36

Unit cell a=3.4927 b=5.9332 c=6.3561 alpha=117.82 beta=105.95 gamma=90.00
Atoms (fractional coordinates):
Y  0.7801  0.7801  0.5602
Y  0.2199  0.2199  0.4398
Br  0.5000  0.0000  0.0000
Mg  0.0000  0.5000  0.0000

YMgBr after structural relaxation, computed with GGA-PBEsol.

Properties
N(E_F), states/eV/atom: 1.08
Symmetry: P-6m2 (187)
ΔE_f (raw), eV per atom: -0.45

Unit cell a=3.7905 b=4.9637 c=4.9637 alpha=120.00 beta=90.00 gamma=90.00
Atoms (fractional coordinates):
Y  0.5000  0.6667  0.3333
Mg  0.0000  0.3333  0.6667
Br  0.5000  0.0000  0.0000

YMgBr2 after structural relaxation, computed with GGA-PBEsol.

Properties
N(E_F), states/eV/atom: 0.64
Symmetry: I-4m2 (119)
ΔE_f (raw), eV per atom: -0.73

Unit cell a=4.0719 b=4.0719 c=6.5855 alpha=108.01 beta=108.01 gamma=90.00
Atoms (fractional coordinates):
Mg  0.5000  0.5000  0.0000
Br  0.0000  0.0000  0.0000
Br  0.7500  0.2500  0.5000
Y  0.2500  0.7500  0.5000